Entry from the Alexandria database: an optimized crystal structure of Cs2Li3BiF12 (PBE-GGA).

The total energy is -73.3 eV/cell. Its crystal system is trigonal.

abc: 8.035 8.035 8.035
angles: 53.39 53.39 53.39
Sites, in units of the cell vectors:
Li 0.000 0.500 0.000
Li 0.500 0.000 0.000
Li 0.000 0.000 0.500
F 0.329 0.917 0.917
F 0.917 0.329 0.917
F 0.671 0.083 0.083
F 0.070 0.689 0.689
F 0.689 0.070 0.689
F 0.311 0.311 0.930
F 0.083 0.671 0.083
F 0.311 0.930 0.311
F 0.917 0.917 0.329
F 0.689 0.689 0.070
F 0.083 0.083 0.671
F 0.930 0.311 0.311
Cs 0.598 0.598 0.598
Cs 0.402 0.402 0.402
Bi 0.000 0.000 0.000